No. 1
! PBE-GGA Pm5Pr6Sm, optimized geometry; values from VASP
! Mass density = 6.75 g/cm3
! Fermi-level density of states = 1.531 states/eV per atom
! Energy of formation from the pure elements = 0.01 eV per atom
&SYSTEM
  ibrav = 0, nat = 12, ntyp = 3
/
ATOMIC_SPECIES
Pm 145.00 Pm.upf
Pr 140.91 Pr.upf
Sm 150.36 Sm.upf
CELL_PARAMETERS angstrom
3.193 -5.532 0.000
3.193 5.532 0.000
-2.140 0.000 11.983
ATOMIC_POSITIONS crystal
Pm 0.000 0.000 0.000
Pm 0.167 0.833 0.500
Pm 0.333 0.667 0.000
Pm 0.667 0.333 0.000
Pm 0.833 0.167 0.500
Pr 0.083 0.416 0.250
Pr 0.250 0.250 0.750
Pr 0.416 0.083 0.250
Pr 0.584 0.917 0.750
Pr 0.750 0.750 0.250
Pr 0.917 0.584 0.750
Sm 0.500 0.500 0.500



No. 2
! PBE-GGA PmPr15Sm4, optimized geometry; values from VASP
! Mass density = 6.65 g/cm3
! Fermi-level density of states = 1.503 states/eV per atom
! Energy of formation from the pure elements = 0.01 eV per atom
&SYSTEM
  ibrav = 0, nat = 20, ntyp = 3
/
ATOMIC_SPECIES
Pm 145.00 Pm.upf
Pr 140.91 Pr.upf
Sm 150.36 Sm.upf
CELL_PARAMETERS angstrom
5.233 0.000 0.000
0.000 5.233 0.000
0.000 0.000 26.064
ATOMIC_POSITIONS crystal
Pm 0.000 0.000 0.000
Pr 0.000 0.500 0.100
Pr 0.000 0.500 0.300
Pr 0.000 0.500 0.500
Pr 0.000 0.500 0.700
Pr 0.000 0.500 0.900
Pr 0.500 0.000 0.100
Pr 0.500 0.000 0.300
Pr 0.500 0.000 0.500
Pr 0.500 0.000 0.700
Pr 0.500 0.000 0.900
Pr 0.500 0.500 0.000
Pr 0.500 0.500 0.200
Pr 0.500 0.500 0.400
Pr 0.500 0.500 0.600
Pr 0.500 0.500 0.800
Sm 0.000 0.000 0.200
Sm 0.000 0.000 0.400
Sm 0.000 0.000 0.600
Sm 0.000 0.000 0.800